# 1
Li12Sn3As5 after structural relaxation. Source: Alexandria via LeMat-Bulk, functional PBE.

Output
Energy of formation ... -0.59 eV per formula unit
Total energy ... -235.24 eV for the cell shown
D(E_F) ... 48.95 states/eV per cell

Cell lengths 13.5074, 13.5074, 13.5074 Å; angles 109.47, 109.47, 109.47 degrees
With the nearest neighbours (Å) after each atom.
Atoms (fractional coordinates):
Sn  0.7500  0.3750  0.1250  4 Li 3.18
Sn  0.8750  0.7500  0.1250  4 Li 3.18
Sn  0.3750  0.7500  0.6250  4 Li 3.18
Sn  0.2500  0.1250  0.3750  4 Li 3.18
Sn  0.8750  0.1250  0.2500  4 Li 3.18
Sn  0.3750  0.6250  0.2500  4 Li 3.18
Sn  0.6250  0.3750  0.7500  4 Li 3.18
Sn  0.1250  0.8750  0.7500  4 Li 3.18
Sn  0.7500  0.8750  0.6250  4 Li 3.18
Sn  0.6250  0.2500  0.3750  4 Li 3.18
Sn  0.1250  0.2500  0.8750  4 Li 3.18
Sn  0.2500  0.6250  0.8750  4 Li 3.18
As  0.1250  0.3750  0.2500  4 Li 2.41
As  0.0000  0.5000  0.0000  6 Li 2.37
As  0.0000  0.0000  0.0000  6 Li 2.37
As  0.3750  0.2500  0.1250  4 Li 2.41
As  0.5000  0.0000  0.5000  6 Li 2.37
As  0.5000  0.5000  0.0000  6 Li 2.37
As  0.1250  0.7500  0.3750  4 Li 2.41
As  0.7500  0.1250  0.8750  4 Li 2.41
As  0.7500  0.6250  0.3750  4 Li 2.41
As  0.3750  0.1250  0.7500  4 Li 2.41
As  0.6250  0.8750  0.2500  4 Li 2.41
As  0.5000  0.5000  0.5000  6 Li 2.37
As  0.5000  0.0000  0.0000  6 Li 2.37
As  0.0000  0.0000  0.5000  6 Li 2.37
As  0.2500  0.3750  0.6250  4 Li 2.41
As  0.2500  0.8750  0.1250  4 Li 2.41
As  0.0000  0.5000  0.5000  6 Li 2.37
As  0.8750  0.2500  0.6250  4 Li 2.41
As  0.6250  0.7500  0.8750  4 Li 2.41
As  0.8750  0.6250  0.7500  4 Li 2.41
Li  0.6780  0.0422  0.9856  2 As 2.37-2.41, 1 Li 2.53
Li  0.3076  0.4856  0.4435  2 As 2.37-2.41, 1 Li 2.53
Li  0.0144  0.4578  0.3220  2 As 2.37-2.41, 1 Li 2.53
Li  0.4856  0.1780  0.0422  2 As 2.37-2.41, 1 Li 2.53
Li  0.6359  0.6780  0.6924  2 As 2.37-2.41, 1 Li 2.53
Li  0.0144  0.5565  0.1924  2 As 2.37-2.41, 1 Li 2.53
Li  0.3076  0.8220  0.3641  2 As 2.37-2.41, 1 Li 2.53
Li  0.0565  0.8641  0.0422  2 As 2.37-2.41, 1 Li 2.53
Li  0.5565  0.0144  0.6924  2 As 2.37-2.41, 1 Li 2.53
Li  0.6780  0.6359  0.1924  2 As 2.37-2.41, 1 Li 2.53
Li  0.8220  0.5144  0.4578  2 As 2.37-2.41, 1 Li 2.53
Li  0.8076  0.9435  0.9856  2 As 2.37-2.41, 1 Li 2.53
Li  0.0422  0.6780  0.4856  2 As 2.37-2.41, 1 Li 2.53
Li  0.4578  0.4435  0.1359  2 As 2.37-2.41, 1 Li 2.53
Li  0.1359  0.9435  0.4578  2 As 2.37-2.41, 1 Li 2.53
Li  0.3641  0.0422  0.5565  2 As 2.37-2.41, 1 Li 2.53
Li  0.1359  0.1924  0.1780  2 As 2.37-2.41, 1 Li 2.53
Li  0.5144  0.6924  0.0565  2 As 2.37-2.41, 1 Li 2.53
Li  0.8076  0.8641  0.3220  2 As 2.37-2.41, 1 Li 2.53
Li  0.0422  0.3641  0.0565  2 As 2.37-2.41, 1 Li 2.53
Li  0.4578  0.0144  0.8220  2 As 2.37-2.41, 1 Li 2.53
Li  0.5565  0.5422  0.3641  2 As 2.37-2.41, 1 Li 2.53
Li  0.9435  0.8076  0.4856  2 As 2.37-2.41, 1 Li 2.53
Li  0.8220  0.3076  0.8641  2 As 2.37-2.41, 1 Li 2.53
Li  0.4435  0.4578  0.6359  2 As 2.37-2.41, 1 Li 2.53
Li  0.0565  0.1924  0.5144  2 As 2.37-2.41, 1 Li 2.53
Li  0.1780  0.6924  0.1359  2 As 2.37-2.41, 1 Li 2.53
Li  0.1924  0.1359  0.6780  2 As 2.37-2.41, 1 Li 2.53
Li  0.5422  0.9856  0.1780  2 As 2.37-2.41, 1 Li 2.53
Li  0.9578  0.6359  0.9435  2 As 2.37-2.41, 1 Li 2.53
Li  0.4856  0.3076  0.9435  2 As 2.37-2.41, 1 Li 2.53
Li  0.6359  0.9578  0.4435  2 As 2.37-2.41, 1 Li 2.53
Li  0.8641  0.8076  0.8220  2 As 2.37-2.41, 1 Li 2.53
Li  0.8641  0.0565  0.5422  2 As 2.37-2.41, 1 Li 2.53
Li  0.9578  0.3220  0.5144  2 As 2.37-2.41, 1 Li 2.53
Li  0.1924  0.0565  0.0144  2 As 2.37-2.41, 1 Li 2.53
Li  0.5422  0.5565  0.8641  2 As 2.37-2.41, 1 Li 2.53
Li  0.4435  0.9856  0.3076  2 As 2.37-2.41, 1 Li 2.53
Li  0.3220  0.3641  0.8076  2 As 2.37-2.41, 1 Li 2.53
Li  0.1780  0.4856  0.5422  2 As 2.37-2.41, 1 Li 2.53
Li  0.9435  0.1359  0.9578  2 As 2.37-2.41, 1 Li 2.53
Li  0.6924  0.1780  0.6359  2 As 2.37-2.41, 1 Li 2.53
Li  0.5144  0.8220  0.9578  2 As 2.37-2.41, 1 Li 2.53
Li  0.9856  0.4435  0.8076  2 As 2.37-2.41, 1 Li 2.53
Li  0.3641  0.3220  0.3076  2 As 2.37-2.41, 1 Li 2.53
Li  0.9856  0.5422  0.6780  2 As 2.37-2.41, 1 Li 2.53
Li  0.6924  0.5144  0.5565  2 As 2.37-2.41, 1 Li 2.53
Li  0.3220  0.9578  0.0144  2 As 2.37-2.41, 1 Li 2.53

---

# 2
LiSnAs after structural relaxation. Source: Alexandria via LeMat-Bulk, functional PBE.

Output
Energy of formation ... -0.54 eV per formula unit
Total energy ... -11.11 eV for the cell shown
D(E_F) ... 1.56 states/eV per cell

Cell lengths 3.7778, 3.7778, 5.3137 Å; angles 110.82, 110.82, 90.00 degrees
With the nearest neighbours (Å) after each atom.
Atoms (fractional coordinates):
As  0.2645  0.2645  0.5290  5 Li 2.89-3.17, 4 Sn 2.92
Sn  0.6353  0.6353  0.2707  5 Li 2.89-3.17, 4 As 2.92
Li  0.9502  0.9502  0.9003  5 As 2.89-3.17, 5 Sn 2.89-3.17

---

# 3
LiSnAs after structural relaxation. Source: Alexandria via LeMat-Bulk, functional PBE.

Output
Energy of formation ... -1.08 eV per formula unit
Total energy ... -23.28 eV for the cell shown
D(E_F) ... 0.80 states/eV per cell

Cell lengths 4.2904, 6.6788, 4.9347 Å; angles 108.98, 89.99, 90.00 degrees
With the nearest neighbours (Å) after each atom.
Atoms (fractional coordinates):
Li  0.7522  0.0436  0.7920  4 As 2.68-2.73
Li  0.2520  0.9643  0.2112  4 As 2.68-2.73
Sn  0.7522  0.6031  0.2598  3 As 2.77-2.85
Sn  0.2524  0.4046  0.7435  3 As 2.77-2.85
As  0.7523  0.2202  0.3643  4 Li 2.68-2.73, 3 Sn 2.77-2.85
As  0.2523  0.7875  0.6389  4 Li 2.68-2.73, 3 Sn 2.77-2.85

---

# 4
Li2SnAs2 after structural relaxation. Source: Alexandria via LeMat-Bulk, functional PBE.

Output
Energy of formation ... -1.58 eV per formula unit
Total energy ... -18.71 eV for the cell shown
D(E_F) ... 1.05 states/eV per cell

Cell lengths 4.3294, 4.3294, 6.1125 Å; angles 69.26, 69.26, 90.00 degrees
With the nearest neighbours (Å) after each atom.
Atoms (fractional coordinates):
As  0.3853  0.3853  0.2293  1 As 2.43, 4 Li 2.60
As  0.6147  0.6147  0.7707  1 As 2.43, 4 Li 2.60
Sn  0.0000  0.0000  0.0000  8 As 3.29, 8 Li 3.42
Li  0.7500  0.2500  0.5000  4 As 2.60
Li  0.2500  0.7500  0.5000  4 As 2.60

---

Q: What is the formula in the second record?
A: LiSnAs

---

Q: Among the records above, which one has the highest total energy?
A: number 2

---

Q: Among the records above, which one has the highest total energy?
A: number 2

---

Q: Number 2 is which compound?
A: LiSnAs